(1)
The following is a PBE-GGA calculation of a relaxed structure of Nb2Si2Ag, from Alexandria via LeMat-Bulk.

Cell: 6.7112 6.7112 3.5518 Å, 90.00 90.00 90.00°
Atoms (fractional coordinates):
Nb (0.1704, 0.3296, 0.0000)
Nb (0.3296, 0.8296, 0.0000)
Nb (0.6704, 0.1704, 0.0000)
Nb (0.8296, 0.6704, 0.0000)
Si (0.1263, 0.6263, 0.5000)
Si (0.3737, 0.1263, 0.5000)
Si (0.6263, 0.8737, 0.5000)
Si (0.8737, 0.3737, 0.5000)
Ag (0.0000, 0.0000, 0.5000)
Ag (0.5000, 0.5000, 0.5000)

Output
**SG**: P4/mbm, No. 127
**Magnetic moment**: 0.00 Bohr magnetons per cell
**D(E_F)**: 4.310 states/eV/f.u.
**Uncorrected formation energy**: -28.5 kJ/mol of atoms

***

(2)
The following is a PBE-GGA calculation of a relaxed structure of Pr5Y4Er2, from Alexandria via LeMat-Bulk.

Cell: 9.0981 9.0981 11.7235 Å, 93.84 93.84 22.64°
Atoms (fractional coordinates):
Pr (0.0000, 0.0000, 0.0000)
Pr (0.3228, 0.3228, 0.9275)
Pr (0.4025, 0.4025, 0.4637)
Pr (0.5975, 0.5975, 0.5363)
Pr (0.6772, 0.6772, 0.0725)
Y (0.1411, 0.1411, 0.7948)
Y (0.4631, 0.4631, 0.7377)
Y (0.5369, 0.5369, 0.2623)
Y (0.8589, 0.8589, 0.2052)
Er (0.2161, 0.2161, 0.3548)
Er (0.7839, 0.7839, 0.6452)

Output
**SG**: C2/m, No. 12
**Energy above the lowest structure with this stoichiometry**: 0 meV/atom
**Magnetic moment**: 0.00 Bohr magnetons per cell
**D(E_F)**: 15.511 states/eV/f.u.

***

(3)
The following is a PBE-GGA calculation of a relaxed structure of BaV3Si, from Alexandria via LeMat-Bulk.

Cell: 4.7920 4.7920 4.7920 Å, 90.00 90.00 90.00°
Atoms (fractional coordinates):
Ba (0.0000, 0.0000, 0.0000)
V (0.0000, 0.0000, 0.5000)
V (0.0000, 0.5000, 0.0000)
V (0.5000, 0.0000, 0.0000)
Si (0.5000, 0.5000, 0.5000)

Output
**SG**: Pm-3m, No. 221
**Energy above the lowest structure with this stoichiometry**: 1774 meV/atom
**Magnetic moment**: 1.96 Bohr magnetons per cell
**D(E_F)**: 8.591 states/eV/f.u.
**Uncorrected formation energy**: 248.9 kJ/mol of atoms